This record from Alexandria via LeMat-Bulk describes a relaxed Tl3BiTe2O8 crystal. The functional is PBE.

Output
Uncorrected formation energy: -0.847 eV per atom
DOS(E_F): 2.31 states/eV/f.u.
Raw total energy: -4.9129 eV/atom
Space-group type: No. 164

abc: 6.497 6.497 7.867
angles: 90.00 90.00 120.00
Element x y z (fractional)
O (0.835, 0.671, 0.683)
Tl (0.333, 0.667, 0.711)
O (0.165, 0.835, 0.317)
O (0.667, 0.333, 0.984)
Bi (0.000, 0.000, 0.500)
Tl (0.000, 0.000, 0.000)
O (0.835, 0.165, 0.683)
O (0.165, 0.329, 0.317)
O (0.333, 0.667, 0.016)
Te (0.333, 0.667, 0.253)
Te (0.667, 0.333, 0.747)
Tl (0.667, 0.333, 0.289)
O (0.671, 0.835, 0.317)
O (0.329, 0.165, 0.683)